No. 1
4
Lattice="-1.601 2.230 4.265 1.601 -2.230 4.265 1.601 2.230 -4.265" Properties=species:S:1:pos:R:3 comment="CdFeTc2 (GGA-PBE, relaxed)" final_energy_ev_per_atom=-7.11 delta_e_f_ev_per_atom=0.420 volume_a3_per_cell=60.9 pbc="T T T"
Cd 0.000 0.000 0.000
Fe 1.601 0.000 2.188
Tc 0.000 0.000 4.181
Tc 0.000 2.230 1.933

***

No. 2
4
Lattice="2.806 0.000 0.000 0.000 2.806 0.000 0.000 0.000 7.766" Properties=species:S:1:pos:R:3 comment="CdFeTc2 (GGA-PBE, relaxed)" final_energy_ev_per_atom=-7.26 delta_e_f_ev_per_atom=0.265 volume_a3_per_cell=61.2 pbc="T T T"
Cd 0.000 0.000 0.000
Fe 1.403 1.403 2.049
Tc 0.000 0.000 3.796
Tc 1.403 1.403 5.534

***

No. 3
4
Lattice="0.000 3.129 3.129 3.129 0.000 3.129 3.129 3.129 0.000" Properties=species:S:1:pos:R:3 comment="CdFeTc2 (GGA-PBE, relaxed)" final_energy_ev_per_atom=-7.05 delta_e_f_ev_per_atom=0.477 volume_a3_per_cell=61.3 pbc="T T T"
Cd 0.000 0.000 0.000
Fe 1.565 1.565 1.565
Tc 3.129 3.129 3.129
Tc 4.694 4.694 4.694